Entry 1:
Here is a relaxed structure of Cu4HgI7 from Alexandria. Energies are from GGA-PBE.

## Properties
Uncorrected energy in eV per atom: -2.454
Total magnetic moment in μB/atom: 0.000

Unit cell a=10.700 b=10.700 c=8.433 alpha=90.00 beta=90.00 gamma=60.80
Sites, in units of the cell vectors:
Cu 0.043 0.718 0.750
Cu 0.282 0.957 0.750
Cu 0.304 0.304 0.000
Cu 0.304 0.304 0.500
Cu 0.696 0.696 0.000
Cu 0.696 0.696 0.500
Cu 0.718 0.043 0.250
Cu 0.957 0.282 0.250
Hg 0.243 0.757 0.250
Hg 0.757 0.243 0.750
I 0.031 0.969 0.750
I 0.183 0.582 0.002
I 0.183 0.582 0.498
I 0.218 0.226 0.750
I 0.226 0.218 0.250
I 0.418 0.817 0.002
I 0.418 0.817 0.498
I 0.582 0.183 0.502
I 0.582 0.183 0.998
I 0.774 0.782 0.750
I 0.782 0.774 0.250
I 0.817 0.418 0.502
I 0.817 0.418 0.998
I 0.969 0.031 0.250

Entry 2:
Here is a relaxed structure of Cu2HgI8 from Alexandria. Energies are from GGA-PBE.

## Properties
Uncorrected energy in eV per atom: -1.953
Total magnetic moment in μB/atom: 0.000

Unit cell a=8.168 b=8.168 c=7.133 alpha=99.88 beta=99.88 gamma=79.69
Sites, in units of the cell vectors:
Cu 0.208 0.208 0.166
Cu 0.792 0.792 0.834
Hg 0.000 0.000 0.500
I 0.073 0.709 0.709
I 0.267 0.267 0.853
I 0.291 0.927 0.291
I 0.429 0.429 0.311
I 0.571 0.571 0.689
I 0.709 0.073 0.709
I 0.733 0.733 0.147
I 0.927 0.291 0.291

Entry 3:
Here is a relaxed structure of CuHg3I from Alexandria. Energies are from GGA-PBE.

## Properties
Energy above the lowest structure with this stoichiometry in meV per atom: 812
Uncorrected energy in eV per atom: -0.467
Total magnetic moment in μB/atom: 0.000

Unit cell a=6.960 b=6.960 c=6.960 alpha=90.00 beta=90.00 gamma=90.00
Sites, in units of the cell vectors:
Cu 0.000 0.000 0.000
Hg 0.000 0.500 0.500
Hg 0.500 0.000 0.500
Hg 0.500 0.500 0.000
I 0.500 0.500 0.500